Below is a geometry-optimized KTlPbI4 structure, with properties calculated at the PBE-GGA level.

## Properties
Magnetization = 0.00 μB per formula unit
Uncorrected formation energy = -808 meV per atom
SG = No. 107

extended XYZ file:
```
7
Lattice="-3.152 3.152 8.895 3.152 -3.152 8.895 3.152 3.152 -8.895" Properties=species:S:1:pos:R:3 pbc="T T T"
K 0.000 0.000 0.000
Tl 0.000 0.000 12.994
Pb 0.000 0.000 6.541
I 0.000 0.000 3.440
I 3.152 0.000 6.689
I 0.000 0.000 9.828
I 0.000 3.152 6.689
```